An optimized crystal structure of PmErRu, computed with PBE-GGA.

Cell lengths 6.9697, 6.9090, 8.0435 Å; angles 57.34, 90.00, 90.00 degrees
Closest atoms and distances in Å follow each position.
Positions (direct):
Ru 0.4379 0.1723 0.7843  3 Er 2.72-2.80, 3 Pm 2.85-2.92
Ru 0.9379 0.3277 0.7157  3 Er 2.72-2.80, 3 Pm 2.85-2.92
Ru 0.0621 0.6723 0.2843  3 Er 2.72-2.80, 3 Pm 2.85-2.92
Ru 0.5621 0.8277 0.2157  3 Er 2.72-2.80, 3 Pm 2.85-2.92
Pm 0.1718 0.1446 0.0709  3 Ru 2.85-2.92
Pm 0.3282 0.6446 0.5709  3 Ru 2.85-2.92
Pm 0.6718 0.3554 0.4291  3 Ru 2.85-2.92
Pm 0.8282 0.8554 0.9291  3 Ru 2.85-2.92
Er 0.8308 0.7872 0.4910  3 Ru 2.72-2.80
Er 0.6692 0.2872 0.9910  3 Ru 2.72-2.80
Er 0.1692 0.2128 0.5090  3 Ru 2.72-2.80
Er 0.3308 0.7128 0.0090  3 Ru 2.72-2.80

Calculated values
Space group: No. 14
Energy above the lowest structure with this stoichiometry in eV/f.u.: 0.304
ΔH_f (0 K) in kJ/mol of atoms: -17.7

An optimized crystal structure of Pm3ErRu, computed with PBE-GGA.

Cell lengths 5.4906, 5.4906, 5.4906 Å; angles 90.00, 90.00, 90.00 degrees
Closest atoms and distances in Å follow each position.
Positions (direct):
Pm 0.5000 0.0000 0.0000  2 Ru 2.75
Pm 0.0000 0.5000 0.0000  2 Ru 2.75
Pm 0.0000 0.0000 0.5000  2 Ru 2.75
Er 0.5000 0.5000 0.5000  12 Pm 3.88
Ru 0.0000 0.0000 0.0000  6 Pm 2.75

Calculated values
Space group: No. 221
Energy above the lowest structure with this stoichiometry in eV/f.u.: 0.869
ΔH_f (0 K) in kJ/mol of atoms: 4.1

An optimized crystal structure of PmEr2Ru, computed with PBE-GGA.

Cell lengths 3.4864, 3.4864, 10.9470 Å; angles 80.84, 80.84, 60.00 degrees
Closest atoms and distances in Å follow each position.
Positions (direct):
Ru 0.5000 0.5000 0.5000  6 Er 2.76
Er 0.8917 0.8917 0.3250  3 Ru 2.76
Er 0.1083 0.1083 0.6750  3 Ru 2.76
Pm 0.0000 0.0000 0.0000  6 Pm 3.49, 2 Er 3.50

Calculated values
Space group: No. 166
Energy above the lowest structure with this stoichiometry in eV/f.u.: 1.508
ΔH_f (0 K) in kJ/mol of atoms: 6.6